# 1
A plane-wave DFT calculation with PBE was carried out for an optimized crystal structure of Sm2Al5Ni4.

Summary:
**N(E_F)**: 4.35 states/eV/cell
**Calculated total energy**: -5.220 eV per atom
**Space-group type**: Fmmm, No. 69
**Energy relative to the elements**: -0.56 eV per atom
**Volume**: 17.0 Å³/atom

Geometry as CIF:
```
data_Sm2Al5Ni4
_chemical_formula_sum 'Sm2 Al5 Ni4'
_cell_length_a 5.3289
_cell_length_b 5.3204
_cell_length_c 8.0579
_cell_angle_alpha 80.47
_cell_angle_beta 70.69
_cell_angle_gamma 59.95
_symmetry_space_group_name_H-M 'P 1'
_symmetry_Int_Tables_number 1
_symmetry_space_group_name_Hall 'P 1'
loop_
_atom_site_label
_atom_site_type_symbol
_atom_site_fract_x
_atom_site_fract_y
_atom_site_fract_z
Sm1 Sm 0.1330 0.0000 0.7339
Al1 Al 0.2500 0.5000 0.5000
Ni1 Ni 0.2133 0.3128 0.2606
Al2 Al 0.5000 0.0000 0.0000
Al3 Al 0.0000 0.5000 0.0000
Ni2 Ni 0.4739 0.3128 0.7394
Sm2 Sm 0.8670 0.0000 0.2661
Ni3 Ni 0.5261 0.6872 0.2606
Al4 Al 0.5000 0.5000 0.0000
Ni4 Ni 0.7867 0.6872 0.7394
Al5 Al 0.7500 0.5000 0.5000
```



# 2
A plane-wave DFT calculation with PBE was carried out for an optimized crystal structure of SnSb2OsI.

Summary:
**N(E_F)**: 4.18 states/eV/cell
**Calculated total energy**: -4.395 eV per atom
**Space-group type**: P4/mmm, No. 123
**Volume**: 30.0 Å³/atom
**Distance to the lowest polymorph of the same formula**: 0.0 kJ/mol of atoms

Geometry as CIF:
```
data_SnSb2OsI
_chemical_formula_sum 'Sn1 Sb2 Os1 I1'
_cell_length_a 5.0778
_cell_length_b 5.0778
_cell_length_c 5.8261
_cell_angle_alpha 90.00
_cell_angle_beta 90.00
_cell_angle_gamma 90.00
_symmetry_space_group_name_H-M 'P 1'
_symmetry_Int_Tables_number 1
_symmetry_space_group_name_Hall 'P 1'
loop_
_atom_site_label
_atom_site_type_symbol
_atom_site_fract_x
_atom_site_fract_y
_atom_site_fract_z
Sb1 Sb 0.0000 0.5000 0.0000
Sn1 Sn 0.5000 0.5000 0.5000
Sb2 Sb 0.5000 0.0000 0.0000
Os1 Os 0.0000 0.0000 0.0000
I1 I 0.0000 0.0000 0.5000
```